a:
First-principles (PBE-GGA) data for crystalline Y3Zn2Au4 at its relaxed geometry, as listed in the Alexandria database.

Calculated values
* DOS at the Fermi energy: 8.26 states/eV/f.u.
* crystal system: orthorhombic

a = 7.5363 Å, b = 7.5363 Å, c = 3.8448 Å
α = 90.00°, β = 90.00°, γ = 118.52°
Last column: nearest neighbours and their distance in Å.
Sites, in units of the cell vectors:
Au 0.0246 0.0246 0.0000  4 Zn 2.69, 2 Au 2.96, 1 Y 2.99
Au 0.6621 0.3117 0.5000  2 Zn 2.77-2.78, 1 Au 2.95, 6 Y 2.99-3.06
Au 0.7317 0.7317 0.5000  4 Au 2.95-2.96, 6 Y 3.12-3.16
Au 0.3117 0.6621 0.5000  2 Zn 2.77-2.78, 1 Au 2.95, 6 Y 2.99-3.06
Y 0.9847 0.6045 0.0000  7 Au 2.99-3.16, 4 Zn 3.27-3.34
Y 0.4126 0.4126 0.0000  7 Au 2.99-3.12, 4 Zn 3.33
Y 0.6045 0.9847 0.0000  7 Au 2.99-3.16, 4 Zn 3.27-3.34
Zn 0.2638 0.0044 0.5000  4 Au 2.69-2.78
Zn 0.0044 0.2638 0.5000  4 Au 2.69-2.78

---

b:
First-principles (PBE-GGA) data for crystalline Y3Zn2Au4 at its relaxed geometry, as listed in the Alexandria database.

Calculated values
* DOS at the Fermi energy: 5.37 states/eV/f.u.
* crystal system: monoclinic

a = 4.6098 Å, b = 5.7539 Å, c = 8.3027 Å
α = 74.75°, β = 73.88°, γ = 66.39°
Last column: nearest neighbours and their distance in Å.
Sites, in units of the cell vectors:
Au 0.9245 0.7524 0.3986  3 Zn 2.61-2.92, 1 Au 2.87
Au 0.0755 0.2476 0.6014  3 Zn 2.61-2.92, 1 Au 2.87
Au 0.2817 0.3676 0.0689  1 Zn 2.60, 2 Au 2.82
Au 0.7183 0.6324 0.9311  1 Zn 2.60, 2 Au 2.82
Y 0.3480 0.6199 0.6840  8 Au 3.04-3.26, 4 Zn 3.12-3.20, 1 Y 3.39
Y 0.0000 0.0000 0.0000  8 Au 3.12-3.28, 4 Zn 3.39, 2 Y 3.48
Y 0.6520 0.3801 0.3160  8 Au 3.04-3.26, 4 Zn 3.12-3.20, 1 Y 3.39
Zn 0.6431 0.0280 0.6858  3 Au 2.60-2.61
Zn 0.3569 0.9720 0.3142  3 Au 2.60-2.61

---

Most stable of them? a.

---

a:
First-principles (PBE-GGA) data for crystalline YZn2Au8 at its relaxed geometry, as listed in the Alexandria database.

Calculated values
* DOS at the Fermi energy: 2.52 states/eV/f.u.
* crystal system: monoclinic

a = 4.2201 Å, b = 6.9371 Å, c = 7.6189 Å
α = 109.70°, β = 106.08°, γ = 90.00°
Last column: nearest neighbours and their distance in Å.
Sites, in units of the cell vectors:
Au 0.0436 0.7251 0.0872  1 Zn 2.79, 8 Au 2.91-3.10, 2 Y 3.06
Au 0.6824 0.9162 0.3647  3 Zn 2.76-2.93, 6 Au 2.85-2.95, 1 Y 2.93
Au 0.3935 0.5315 0.7870  3 Zn 2.74-2.96, 5 Au 2.90-3.00
Au 0.3176 0.0838 0.6353  3 Zn 2.76-2.93, 6 Au 2.85-2.95, 1 Y 2.93
Au 0.8497 0.7733 0.6995  3 Zn 2.75-2.83, 4 Au 2.90-2.97, 2 Y 3.06
Au 0.6065 0.4685 0.2130  3 Zn 2.74-2.96, 5 Au 2.90-3.00
Au 0.1503 0.2267 0.3005  3 Zn 2.75-2.83, 4 Au 2.90-2.97, 2 Y 3.06
Au 0.9564 0.2749 0.9128  1 Zn 2.79, 8 Au 2.91-3.10, 2 Y 3.06
Y 0.5000 0.0000 0.0000  12 Au 2.93-3.07
Zn 0.7782 0.3378 0.5563  10 Au 2.74-2.96
Zn 0.2218 0.6622 0.4437  10 Au 2.74-2.96

---

b:
First-principles (PBE-GGA) data for crystalline YZn2Au8 at its relaxed geometry, as listed in the Alexandria database.

Calculated values
* DOS at the Fermi energy: 3.06 states/eV/f.u.
* crystal system: monoclinic

a = 4.6513 Å, b = 7.4746 Å, c = 7.4746 Å
α = 115.02°, β = 103.63°, γ = 103.63°
Last column: nearest neighbours and their distance in Å.
Sites, in units of the cell vectors:
Zn 0.0000 0.3199 0.6801  8 Au 2.58-2.83
Zn 0.0000 0.6801 0.3199  8 Au 2.58-2.83
Y 0.5000 0.0000 0.0000  8 Au 2.91-3.08
Au 0.5000 0.7694 0.2306  2 Zn 2.58
Au 0.8766 0.6747 0.9286  2 Zn 2.80-2.83, 5 Au 2.83-3.12, 1 Y 3.08
Au 0.1234 0.3253 0.0714  2 Zn 2.80-2.83, 5 Au 2.83-3.12, 1 Y 3.08
Au 0.1234 0.0714 0.3253  2 Zn 2.80-2.83, 5 Au 2.83-3.12, 1 Y 3.08
Au 0.3284 0.6056 0.6056  2 Zn 2.66, 4 Au 2.77-2.83, 1 Y 2.91
Au 0.6716 0.3944 0.3944  2 Zn 2.66, 4 Au 2.77-2.83, 1 Y 2.91
Au 0.8766 0.9286 0.6747  2 Zn 2.80-2.83, 5 Au 2.83-3.12, 1 Y 3.08
Au 0.5000 0.2306 0.7694  2 Zn 2.58

---

Most stable of them? a.

---

a:
First-principles (PBE-GGA) data for crystalline YZn4Au2 at its relaxed geometry, as listed in the Alexandria database.

Calculated values
* DOS at the Fermi energy: 3.49 states/eV/f.u.
* crystal system: orthorhombic

a = 3.9289 Å, b = 3.9701 Å, c = 8.5392 Å
α = 103.44°, β = 90.00°, γ = 90.00°
Last column: nearest neighbours and their distance in Å.
Sites, in units of the cell vectors:
Zn 0.5000 0.1896 0.3791  2 Au 2.66, 8 Zn 2.77-2.82
Zn 0.0000 0.3071 0.6142  2 Au 2.68, 8 Zn 2.75-2.79
Zn 0.0000 0.6929 0.3858  2 Au 2.68, 8 Zn 2.75-2.79
Zn 0.5000 0.8104 0.6209  2 Au 2.66, 8 Zn 2.77-2.82
Y 0.0000 0.0000 0.0000  8 Au 3.12
Au 0.5000 0.5832 0.1664  4 Zn 2.66-2.68, 1 Au 2.76
Au 0.5000 0.4168 0.8336  4 Zn 2.66-2.68, 1 Au 2.76

---

b:
First-principles (PBE-GGA) data for crystalline YZn4Au2 at its relaxed geometry, as listed in the Alexandria database.

Calculated values
* DOS at the Fermi energy: 1.74 states/eV/f.u.
* crystal system: tetragonal

a = 4.3857 Å, b = 7.6175 Å, c = 7.6175 Å
α = 90.00°, β = 90.00°, γ = 90.00°
Last column: nearest neighbours and their distance in Å.
Sites, in units of the cell vectors:
Zn 0.5000 0.8562 0.3987  3 Au 2.60-2.68, 6 Zn 2.68-2.90
Zn 0.5000 0.3987 0.8562  3 Au 2.60-2.68, 6 Zn 2.68-2.90
Zn 0.5000 0.1438 0.6013  3 Au 2.60-2.68, 6 Zn 2.68-2.90
Zn 0.5000 0.6013 0.1438  3 Au 2.60-2.68, 6 Zn 2.68-2.90
Zn 0.0000 0.1013 0.3562  3 Au 2.60-2.68, 6 Zn 2.68-2.90
Zn 0.0000 0.6438 0.8987  3 Au 2.60-2.68, 6 Zn 2.68-2.90
Zn 0.0000 0.3562 0.1013  3 Au 2.60-2.68, 6 Zn 2.68-2.90
Zn 0.0000 0.8987 0.6438  3 Au 2.60-2.68, 6 Zn 2.68-2.90
Au 0.0000 0.7946 0.2054  6 Zn 2.60-2.68
Au 0.5000 0.2946 0.2946  6 Zn 2.60-2.68
Au 0.0000 0.2054 0.7946  6 Zn 2.60-2.68
Au 0.5000 0.7054 0.7054  6 Zn 2.60-2.68
Y 0.0000 0.5000 0.5000  6 Au 3.12-3.17, 4 Zn 3.23
Y 0.5000 0.0000 0.0000  6 Au 3.12-3.17, 4 Zn 3.23

---

Most stable of them? b.

---

a:
First-principles (PBE-GGA) data for crystalline YZn4Au at its relaxed geometry, as listed in the Alexandria database.

Calculated values
* DOS at the Fermi energy: 3.90 states/eV/f.u.
* crystal system: cubic

a = 5.3036 Å, b = 5.3036 Å, c = 5.3036 Å
α = 60.00°, β = 60.00°, γ = 60.00°
Last column: nearest neighbours and their distance in Å.
Sites, in units of the cell vectors:
Y 0.0000 0.0000 0.0000  12 Zn 3.11, 4 Au 3.25
Zn 0.3750 0.8751 0.3750  6 Zn 2.65
Zn 0.3750 0.3750 0.8751  6 Zn 2.65
Zn 0.8751 0.3750 0.3750  6 Zn 2.65
Zn 0.3750 0.3750 0.3750  6 Zn 2.65
Au 0.7500 0.7500 0.7500  12 Zn 3.11, 4 Y 3.25

---

b:
First-principles (PBE-GGA) data for crystalline YZn4Au at its relaxed geometry, as listed in the Alexandria database.

Calculated values
* DOS at the Fermi energy: 3.57 states/eV/f.u.
* crystal system: orthorhombic

a = 4.0783 Å, b = 6.7222 Å, c = 8.3117 Å
α = 90.00°, β = 104.20°, γ = 90.00°
Last column: nearest neighbours and their distance in Å.
Sites, in units of the cell vectors:
Au 0.2371 0.7500 0.4742  7 Zn 2.62-2.69
Au 0.7629 0.2500 0.5258  7 Zn 2.62-2.69
Zn 0.5000 0.0000 0.0000  6 Zn 2.66-2.87
Zn 0.3366 0.0579 0.6731  4 Zn 2.58-2.85, 3 Au 2.62-2.69
Zn 0.6634 0.5579 0.3269  4 Zn 2.58-2.85, 3 Au 2.62-2.69
Zn 0.6634 0.9421 0.3269  4 Zn 2.58-2.85, 3 Au 2.62-2.69
Zn 0.3366 0.4421 0.6731  4 Zn 2.58-2.85, 3 Au 2.62-2.69
Zn 0.9301 0.2500 0.8602  1 Au 2.69, 8 Zn 2.85-2.87
Zn 0.0699 0.7500 0.1398  1 Au 2.69, 8 Zn 2.85-2.87
Zn 0.5000 0.5000 0.0000  6 Zn 2.66-2.87
Y 0.8826 0.7500 0.7653  9 Zn 3.00-3.25, 2 Au 3.11
Y 0.1174 0.2500 0.2347  9 Zn 3.00-3.25, 2 Au 3.11

---

Most stable of them? b.